# 1
Material: Nd12Dy7Pb
Method: DFT, PBE-GGA
State: optimized geometry

Calculated values
Theoretical density: 6.53 g/cm³
N(E_F): 1.772 states/eV per atom
Crystal system: cubic
E_form: 627 meV per atom

a b c (Å): 11.6080 11.6080 11.6080
angles (deg): 90.00 90.00 90.00
Space group Im-3m (No. 229)
Asymmetric unit:
Nd (0.0000, 0.2193, 0.2193) (multiplicity 24)
Dy (0.0000, 0.0000, 0.5000) (multiplicity 6)
Dy (0.2500, 0.2500, 0.2500) (multiplicity 8)
Pb (0.0000, 0.0000, 0.0000) (multiplicity 2)


# 2
Material: Ac2SnAu
Method: DFT, PBE-GGA
State: optimized geometry

Calculated values
Theoretical density: 10.00 g/cm³
N(E_F): 0.654 states/eV per atom
Crystal system: tetragonal
E_form: -692 meV per atom

a b c (Å): 3.9615 3.9615 8.1413
angles (deg): 90.00 90.00 90.00
Space group P4/mmm (No. 123)
Asymmetric unit:
Ac (0.0000, 0.0000, 0.2369) (multiplicity 2)
Sn (0.5000, 0.5000, 0.5000) (multiplicity 1)
Au (0.5000, 0.5000, 0.0000) (multiplicity 1)


# 3
Material: LaCuSbTe2
Method: DFT, PBE-GGA
State: optimized geometry

Calculated values
Theoretical density: 4.18 g/cm³
Uncorrected formation energy: 11.9 kcal/mol of atoms
N(E_F): 1.274 states/eV per atom
Crystal system: tetragonal

a b c (Å): 6.1029 6.1029 6.1829
angles (deg): 90.00 90.00 90.00
Space group P4/mmm (No. 123)
Asymmetric unit:
La (0.0000, 0.0000, 0.0000) (multiplicity 1)
Cu (0.5000, 0.5000, 0.5000) (multiplicity 1)
Sb (0.0000, 0.0000, 0.5000) (multiplicity 1)
Te (0.0000, 0.5000, 0.0000) (multiplicity 2)


no.,total magnetization (μB per atom),electronic total energy (eV/atom)
1,0.001,-4.03
2,0.000,-4.57
3,0.175,-3.37